The following is a PBE calculation of a geometry-optimized GdPbNO structure, from OQMD.

**Energy relative to the lowest polymorph listed for this composition**: 233 meV per atom
**Calculated density**: 8.3 Mg/m³
**Total DFT energy (no corrections)**: -6.655 eV per atom

Cell lengths 3.903, 6.193, 6.551 Å; angles 90.00, 90.00, 90.00 degrees
Space group Pmc2_1 (No. 26)
Asymmetric unit:
1 Gd 0.000 0.190 0.000 [2 per cell]
2 Pb 0.500 0.294 0.473 [2 per cell]
3 N 0.500 0.367 0.082 [2 per cell]
4 O 0.000 0.113 0.676 [2 per cell]